# 1
VASP calculation (PBE) on a geometry-optimized KMg2Al structure.

Computed properties:
Energy of formation from the pure elements in eV/atom: 0.21
Magnetic moment in μB/f.u.: 0.000

Lattice parameters (Å, degrees): 5.1236 5.1236 7.7809 96.09 96.09 37.57
Last column: nearest neighbours and their distance in Å.
Element x y z (fractional)
K  0.0000  0.0000  0.0000  2 K 3.30, 3 Al 3.69
Mg  0.2282  0.2282  0.6381  2 Al 2.97, 5 Mg 3.06-3.30
Mg  0.4856  0.4856  0.4445  3 Al 2.83-2.88, 3 Mg 3.06-3.12
Al  0.7505  0.7505  0.3248  5 Mg 2.83-2.97

***

# 2
VASP calculation (PBE) on a geometry-optimized Li2AsWN structure.

Computed properties:
Formation energy without anion corrections in eV per formula unit: 4.2
Magnetic moment in μB/f.u.: 1.282

Lattice parameters (Å, degrees): 5.2927 5.2927 3.7786 90.00 90.00 90.00
Last column: nearest neighbours and their distance in Å.
Element x y z (fractional)
Li  0.0000  0.5000  0.0000  2 W 2.65
Li  0.5000  0.0000  0.0000  2 W 2.65
As  0.0000  0.0000  0.5000  8 Li 3.25
W  0.5000  0.5000  0.0000  2 N 1.89
N  0.5000  0.5000  0.5000  2 W 1.89

***

# 3
VASP calculation (PBE) on a geometry-optimized Y2MnSi structure.

Computed properties:
Formation energy without anion corrections in eV per formula unit: -0.7
Magnetic moment in μB/f.u.: 3.119

Lattice parameters (Å, degrees): 3.5611 3.5611 7.0240 90.00 90.00 90.00
Last column: nearest neighbours and their distance in Å.
Element x y z (fractional)
Y  0.0000  0.0000  0.2446  4 Si 3.05, 4 Mn 3.09
Y  0.0000  0.0000  0.7554  4 Si 3.05, 4 Mn 3.09
Mn  0.5000  0.5000  0.5000  8 Y 3.09
Si  0.5000  0.5000  0.0000  8 Y 3.05

***

# 4
VASP calculation (PBE) on a geometry-optimized CsLiI2N structure.

Computed properties:
Offset from the most stable computed form in meV/atom: 681
Formation energy without anion corrections in eV per formula unit: 3.1
Magnetic moment in μB/f.u.: 1.754

Lattice parameters (Å, degrees): 7.0208 7.0208 4.6676 90.00 90.00 90.00
Last column: nearest neighbours and their distance in Å.
Element x y z (fractional)
Cs  0.0000  0.0000  0.0000  2 N 2.33
Li  0.5000  0.5000  0.5000  8 I 4.22, 2 Li 4.67
I  0.0000  0.5000  0.0000  2 Cs 3.51
I  0.5000  0.0000  0.0000  2 Cs 3.51
N  0.0000  0.0000  0.5000  2 Cs 2.33

***

# 5
VASP calculation (PBE) on a geometry-optimized Na6Sr2Ca structure.

Computed properties:
Energy of formation from the pure elements in eV/atom: 0.06
Magnetic moment in μB/f.u.: 0.000

Lattice parameters (Å, degrees): 10.3164 10.3164 4.0683 90.22 90.22 61.04
Last column: nearest neighbours and their distance in Å.
Element x y z (fractional)
Na  0.1716  0.4997  0.0023  3 Na 3.39-3.54
Na  0.1717  0.8283  0.0000  3 Na 3.39-3.60
Na  0.4997  0.1716  0.0023  3 Na 3.39-3.54
Na  0.5003  0.8284  0.9977  3 Na 3.39-3.54
Na  0.8283  0.1717  0.0000  3 Na 3.39-3.60
Na  0.8284  0.5003  0.9977  3 Na 3.39-3.54
Sr  0.1660  0.1660  0.5001  12 Na 4.00-4.07, 2 Sr 4.07
Sr  0.8340  0.8340  0.4999  12 Na 4.00-4.07, 2 Sr 4.07
Ca  0.5000  0.5000  0.5000  12 Na 3.94-4.00, 2 Ca 4.07

***

# 6
VASP calculation (PBE) on a geometry-optimized Ca2Sc4Tl structure.

Computed properties:
Energy of formation from the pure elements in eV/atom: 0.58
Magnetic moment in μB/f.u.: 2.752

Lattice parameters (Å, degrees): 9.4039 9.4039 9.4039 146.86 146.86 47.57
Last column: nearest neighbours and their distance in Å.
Element x y z (fractional)
Ca  0.1352  0.1352  0.0000  9 Sc 3.46-3.82
Ca  0.8648  0.8648  0.0000  9 Sc 3.46-3.82
Sc  0.0000  0.5000  0.5000  2 Tl 2.68
Sc  0.3360  0.3360  0.0000  1 Tl 2.82
Sc  0.5000  0.0000  0.5000  2 Tl 2.68
Sc  0.6640  0.6640  0.0000  1 Tl 2.82
Tl  0.5000  0.5000  0.0000  6 Sc 2.68-2.82

***

# 7
VASP calculation (PBE) on a geometry-optimized YNiH3 structure.

Computed properties:
Magnetic moment in μB/f.u.: 0.040

Lattice parameters (Å, degrees): 4.0066 4.0066 4.0066 90.00 90.00 90.00
Last column: nearest neighbours and their distance in Å.
Element x y z (fractional)
Y  0.0000  0.0000  0.0000  6 H 2.00
Ni  0.5000  0.5000  0.5000  12 H 2.83
H  0.0000  0.0000  0.5000  2 Y 2.00
H  0.0000  0.5000  0.0000  2 Y 2.00
H  0.5000  0.0000  0.0000  2 Y 2.00

***

# 8
VASP calculation (PBE) on a geometry-optimized La2HgSeN structure.

Computed properties:
Formation energy without anion corrections in eV per formula unit: 0.9
Magnetic moment in μB/f.u.: 0.000

Lattice parameters (Å, degrees): 5.8886 5.8886 4.0884 90.00 90.00 90.00
Last column: nearest neighbours and their distance in Å.
Element x y z (fractional)
La  0.0000  0.5000  0.0000  2 Hg 2.94
La  0.5000  0.0000  0.0000  2 Hg 2.94
Hg  0.0000  0.0000  0.0000  2 N 2.04
Se  0.5000  0.5000  0.5000  8 La 3.58
N  0.0000  0.0000  0.5000  2 Hg 2.04

***

# 9
VASP calculation (PBE) on a geometry-optimized PaAl2Tc structure.

Computed properties:
Offset from the most stable computed form in meV/atom: 201
Energy of formation from the pure elements in eV/atom: -0.26
Magnetic moment in μB/f.u.: 0.445

Lattice parameters (Å, degrees): 3.1720 3.1720 7.0925 90.00 90.00 90.00
Last column: nearest neighbours and their distance in Å.
Element x y z (fractional)
Pa  0.0000  0.0000  0.0000  8 Al 3.15, 4 Pa 3.17
Al  0.5000  0.5000  0.3112  4 Tc 2.61, 1 Al 2.68
Al  0.5000  0.5000  0.6888  4 Tc 2.61, 1 Al 2.68
Tc  0.0000  0.0000  0.5000  8 Al 2.61

***

# 10
VASP calculation (PBE) on a geometry-optimized Tl8Pb2Au structure.

Computed properties:
Offset from the most stable computed form in meV/atom: 32
Energy of formation from the pure elements in eV/atom: 0.04
Magnetic moment in μB/f.u.: 0.000

Lattice parameters (Å, degrees): 8.8653 8.8653 6.6382 106.39 106.39 43.51
Last column: nearest neighbours and their distance in Å.
Element x y z (fractional)
Tl  0.1239  0.1239  0.9654  3 Pb 3.45-3.58, 5 Tl 3.49-3.64
Tl  0.1743  0.6893  0.6276  1 Au 2.92, 2 Tl 3.19-3.20
Tl  0.2539  0.2539  0.6356  7 Tl 3.40-3.73, 1 Pb 3.40
Tl  0.3107  0.8257  0.3724  1 Au 2.92, 2 Tl 3.19-3.20
Tl  0.6893  0.1743  0.6276  1 Au 2.92, 2 Tl 3.19-3.20
Tl  0.7461  0.7461  0.3644  7 Tl 3.40-3.73, 1 Pb 3.40
Tl  0.8257  0.3107  0.3724  1 Au 2.92, 2 Tl 3.19-3.20
Tl  0.8761  0.8761  0.0346  3 Pb 3.45-3.58, 5 Tl 3.49-3.64
Pb  0.3521  0.3521  0.1661  1 Au 2.96
Pb  0.6479  0.6479  0.8339  1 Au 2.96
Au  0.5000  0.5000  0.0000  4 Tl 2.92, 2 Pb 2.96

***

# 11
VASP calculation (PBE) on a geometry-optimized Sc2PtW structure.

Computed properties:
Offset from the most stable computed form in meV/atom: 521
Energy of formation from the pure elements in eV/atom: 0.13
Magnetic moment in μB/f.u.: 0.000

Lattice parameters (Å, degrees): 5.9541 5.9541 5.9541 103.01 103.01 123.34
Last column: nearest neighbours and their distance in Å.
Element x y z (fractional)
Sc  0.1019  0.6250  0.9769  2 Pt 2.60, 2 W 2.83, 2 Sc 2.85
Sc  0.3750  0.3519  0.4769  2 Pt 2.60, 2 W 2.83, 2 Sc 2.85
Sc  0.6481  0.1250  0.0231  2 Pt 2.60, 2 W 2.83, 2 Sc 2.85
Sc  0.8750  0.8981  0.5231  2 Pt 2.60, 2 W 2.83, 2 Sc 2.85
Pt  0.0000  0.0000  0.0000  4 Sc 2.60, 2 W 2.83
Pt  0.7500  0.2500  0.5000  4 Sc 2.60, 2 W 2.83
W  0.2500  0.7500  0.5000  2 Pt 2.83, 4 Sc 2.83
W  0.5000  0.5000  0.0000  2 Pt 2.83, 4 Sc 2.83

***

# 12
VASP calculation (PBE) on a geometry-optimized YTlInHg structure.

Computed properties:
Offset from the most stable computed form in meV/atom: 0
Energy of formation from the pure elements in eV/atom: -0.33
Magnetic moment in μB/f.u.: 0.000

Lattice parameters (Å, degrees): 4.6237 4.6353 4.7142 90.00 90.00 90.00
Last column: nearest neighbours and their distance in Å.
Element x y z (fractional)
Y  0.0000  0.0000  0.0000  4 Tl 3.27, 4 In 3.30, 4 Hg 3.31
Tl  0.5000  0.5000  0.0000  4 Y 3.27, 4 Hg 3.30, 4 In 3.31
In  0.5000  0.0000  0.5000  4 Hg 3.27, 4 Y 3.30, 4 Tl 3.31
Hg  0.0000  0.5000  0.5000  4 In 3.27, 4 Tl 3.30, 4 Y 3.31

***

Energy values, unit eV per atom, following the record order: -1.79, -5.12, -7.06, -2.22, -1.42, -3.95, -4.11, -4.22, -7.09, -2.65, -7.79, -3.30.